[1]
Density functional theory data (PBE-GGA) for a geometry-optimized BaTa2Cr structure.

Cell: 3.306 3.300 9.018 Å, 68.60 90.00 90.00°
Site moments in Bohr magnetons follow the coordinates.
Fractional positions:
Ta  0.000  0.018  0.981  -0.26
Ba  0.000  0.484  0.516  -0.04
Cr  0.500  0.666  0.833  1.66
Ta  0.500  0.331  0.169  -0.28

Computed properties:
**VASP energy**: -32.51 eV/cell
**Energy relative to the lowest polymorph listed for this composition**: 0.20 eV/f.u.
**Mass density**: 9.99 Mg/m³
**Energy of formation from the pure elements**: 0.6847 eV/atom
**Symmetry**: No. 6
**Total magnetic moment**: 0.24 μB/atom



[2]
Density functional theory data (PBE-GGA) for a geometry-optimized Ac3PdS6 structure.

Cell: 6.922 9.015 9.015 Å, 101.04 90.00 90.00°
Site moments in Bohr magnetons follow the coordinates.
Fractional positions:
Ac  0.908  0.608  0.392  0.00
S  0.187  0.773  0.227  0.04
Pd  0.482  0.862  0.138  0.23
S  0.743  0.992  0.008  0.01
S  0.648  0.899  0.382  0.11
S  0.648  0.618  0.101  0.11
Ac  0.986  0.081  0.300  0.01
S  0.148  0.101  0.618  0.11
S  0.199  0.359  0.322  0.00
S  0.687  0.227  0.773  0.04
S  0.148  0.382  0.899  0.11
Ac  0.408  0.392  0.608  0.00
Ac  0.486  0.300  0.081  0.01
Ac  0.486  0.919  0.700  0.01
S  0.199  0.678  0.641  0.00
S  0.243  0.008  0.992  0.01
Pd  0.982  0.138  0.862  0.23
S  0.699  0.641  0.678  0.00
S  0.699  0.322  0.359  0.00
Ac  0.986  0.700  0.919  0.01

Computed properties:
**VASP energy**: -115.56 eV/cell
**Mass density**: 5.89 Mg/m³
**Formation energy (no corrections)**: -1.55 eV/atom
**Symmetry**: No. 36
**Total magnetic moment**: 0.08 μB/atom



[3]
Density functional theory data (PBE-GGA) for a geometry-optimized CePu2As2N2 structure.

Cell: 3.850 6.456 6.736 Å, 63.37 73.39 72.65°
Site moments in Bohr magnetons follow the coordinates.
Fractional positions:
Pu  0.190  0.371  0.249  4.52
N  0.208  0.676  0.909  -0.21
Ce  0.000  0.000  0.000  -0.14
Pu  0.810  0.629  0.751  4.52
N  0.792  0.324  0.091  -0.21
As  0.555  0.246  0.644  -0.14
As  0.445  0.754  0.356  -0.14

Computed properties:
**VASP energy**: -68.48 eV/cell
**Mass density**: 9.52 Mg/m³
**Formation energy (no corrections)**: -1.13 eV/atom
**Symmetry**: No. 12
**Total magnetic moment**: 1.17 μB/atom